No. 1
A plane-wave DFT calculation with GGA-PBE was carried out for an optimized crystal structure of Na2PmBi.

SG	P4/mmm (123)
DOS(E_F)	1.085	states/eV/cell
energy relative to the elements	-0.362	eV per atom

Cell: 5.742 4.633 4.633 Å, 90.00 90.00 90.00°
Fractional positions:
Na1 0.000 0.000 0.500
Na2 0.000 0.500 0.000
Bi1 0.500 0.000 0.000
Pm1 0.500 0.500 0.500

No. 2
A plane-wave DFT calculation with GGA-PBE was carried out for an optimized crystal structure of NaPmBi2.

SG	Fm-3m (225)
DOS(E_F)	4.811	states/eV/cell
energy relative to the lowest polymorph listed for this composition	0.46	eV per formula unit
energy relative to the elements	-0.446	eV per atom

Cell: 5.572 5.572 5.572 Å, 60.00 60.00 60.00°
Fractional positions:
Na1 0.500 0.500 0.500
Bi1 0.250 0.250 0.250
Bi2 0.750 0.750 0.750
Pm1 0.000 0.000 0.000

No. 3
A plane-wave DFT calculation with GGA-PBE was carried out for an optimized crystal structure of NaPmBi2.

SG	P4/mmm (123)
DOS(E_F)	2.091	states/eV/cell
energy relative to the lowest polymorph listed for this composition	0.17	eV per formula unit
energy relative to the elements	-0.517	eV per atom

Cell: 4.184 4.184 7.081 Å, 90.00 90.00 90.00°
Fractional positions:
Na1 0.500 0.500 0.500
Bi1 0.000 0.000 0.762
Bi2 0.000 0.000 0.238
Pm1 0.500 0.500 0.000

No. 4
A plane-wave DFT calculation with GGA-PBE was carried out for an optimized crystal structure of NaPmBi2.

SG	Pmmn (59)
DOS(E_F)	7.448	states/eV/cell
energy relative to the lowest polymorph listed for this composition	0.00	eV per formula unit
energy relative to the elements	-0.561	eV per atom

Cell: 4.568 4.568 23.556 Å, 90.00 90.00 90.00°
Fractional positions:
Na1 0.250 0.250 0.750
Na2 0.750 0.750 0.750
Na3 0.750 0.750 0.250
Na4 0.250 0.250 0.250
Pm1 0.250 0.750 0.608
Pm2 0.750 0.250 0.892
Pm3 0.750 0.250 0.392
Pm4 0.250 0.750 0.108
Bi1 0.250 0.250 0.500
Bi2 0.750 0.750 0.000
Bi3 0.750 0.750 0.500
Bi4 0.250 0.250 0.000
Bi5 0.250 0.750 0.850
Bi6 0.750 0.250 0.650
Bi7 0.750 0.250 0.150
Bi8 0.250 0.750 0.350

No. 5
A plane-wave DFT calculation with GGA-PBE was carried out for an optimized crystal structure of NaPm2Bi.

SG	Fm-3m (225)
DOS(E_F)	4.205	states/eV/cell
energy relative to the lowest polymorph listed for this composition	0.23	eV per formula unit
energy relative to the elements	-0.274	eV per atom

Cell: 5.517 5.517 5.517 Å, 60.00 60.00 60.00°
Fractional positions:
Na1 0.500 0.500 0.500
Bi1 0.000 0.000 0.000
Pm1 0.250 0.250 0.250
Pm2 0.750 0.750 0.750

No. 6
A plane-wave DFT calculation with GGA-PBE was carried out for an optimized crystal structure of NaPmBi2.

SG	P4/mmm (123)
DOS(E_F)	2.343	states/eV/cell
energy relative to the lowest polymorph listed for this composition	0.20	eV per formula unit
energy relative to the elements	-0.511	eV per atom

Cell: 3.534 5.850 5.850 Å, 90.00 90.00 90.00°
Site moments in Bohr magnetons follow the coordinates.
Fractional positions:
Na1 0.500 0.000 0.000  0.00
Bi1 0.000 0.000 0.500  0.00
Bi2 0.000 0.500 0.000  0.00
Pm1 0.500 0.500 0.500  0.07

No. 7
A plane-wave DFT calculation with GGA-PBE was carried out for an optimized crystal structure of NaPm2Bi.

SG	R-3m (166)
DOS(E_F)	3.860	states/eV/cell
energy relative to the lowest polymorph listed for this composition	1.13	eV per formula unit
energy relative to the elements	-0.048	eV per atom

Cell: 4.147 4.147 11.661 Å, 79.76 79.76 60.00°
Fractional positions:
Na1 0.000 0.000 0.000
Bi1 0.500 0.500 0.500
Pm1 0.108 0.108 0.676
Pm2 0.892 0.892 0.324

No. 8
A plane-wave DFT calculation with GGA-PBE was carried out for an optimized crystal structure of NaPmBi2S4.

SG	P2/m (10)
E_form (uncorrected)	-895	meV/atom

Cell: 3.991 8.795 7.468 Å, 124.28 90.00 90.00°
Fractional positions:
Na1 0.000 0.000 0.000
Pm1 0.500 0.500 0.000
Bi1 0.500 0.000 0.500
Bi2 0.000 0.500 0.500
S1 0.500 0.294 0.184
S2 0.500 0.706 0.816
S3 0.000 0.285 0.678
S4 0.000 0.715 0.322

No. 9
A plane-wave DFT calculation with GGA-PBE was carried out for an optimized crystal structure of NaPmBiSb.

SG	F-43m (216)
DOS(E_F)	5.268	states/eV/cell
E_form (uncorrected)	-484	meV/atom

Cell: 5.503 5.503 5.503 Å, 60.00 60.00 60.00°
Fractional positions:
Sb1 0.250 0.250 0.250
Na1 0.000 0.000 0.000
Bi1 0.750 0.750 0.750
Pm1 0.500 0.500 0.500

No. 10
A plane-wave DFT calculation with GGA-PBE was carried out for an optimized crystal structure of NaPmBi2Se4.

SG	P2/m (10)
DOS(E_F)	3.364	states/eV/cell
E_form (uncorrected)	-752	meV/atom

Cell: 3.853 7.605 10.425 Å, 133.92 90.00 90.00°
Fractional positions:
Na1 0.000 0.000 0.000
Pm1 0.500 0.500 0.000
Bi1 0.500 0.000 0.500
Bi2 0.000 0.500 0.500
Se1 0.500 0.932 0.741
Se2 0.500 0.068 0.259
Se3 0.000 0.530 0.224
Se4 0.000 0.470 0.776

No. 11
A plane-wave DFT calculation with GGA-PBE was carried out for an optimized crystal structure of Na2PmBiSe4.

SG	P2/m (10)
DOS(E_F)	0.000	states/eV/cell
E_form (uncorrected)	-1215	meV/atom

Cell: 4.248 7.362 7.466 Å, 109.16 90.00 90.00°
Fractional positions:
Na1 0.500 0.000 0.500
Na2 0.000 0.500 0.500
Pm1 0.500 0.500 0.000
Bi1 0.000 0.000 0.000
Se1 0.500 0.246 0.238
Se2 0.500 0.754 0.762
Se3 0.000 0.255 0.765
Se4 0.000 0.745 0.235

No. 12
A plane-wave DFT calculation with GGA-PBE was carried out for an optimized crystal structure of Na3Pm3BiSe8.

SG	R-3m (166)
DOS(E_F)	6.870	states/eV/cell
E_form (uncorrected)	-1364	meV/atom

Cell: 8.458 8.458 8.588 Å, 119.51 90.00 120.00°
Fractional positions:
Na1 0.000 0.000 0.000
Na2 0.000 0.500 0.000
Na3 0.500 0.500 0.000
Pm1 0.500 0.000 0.500
Pm2 0.500 0.500 0.500
Pm3 0.000 0.500 0.500
Bi1 0.000 0.000 0.500
Se1 0.255 0.510 0.266
Se2 0.745 0.490 0.734
Se3 0.758 0.516 0.267
Se4 0.242 0.484 0.733
Se5 0.758 0.009 0.267
Se6 0.242 0.991 0.733
Se7 0.251 0.009 0.267
Se8 0.749 0.991 0.733

| no. | E (eV/atom) | size of the total moment (μB/atom) |
| --- | --- | --- |
| 1 | -3.18 | 0.000 |
| 2 | -3.90 | 0.000 |
| 3 | -3.98 | 0.000 |
| 4 | -4.02 | 0.000 |
| 5 | -3.95 | 0.000 |
| 6 | -3.97 | 0.029 |
| 7 | -3.72 | 0.000 |
| 8 | -4.69 | 0.000 |
| 9 | -4.00 | 0.000 |
| 10 | -4.22 | 0.000 |
| 11 | -4.37 | 0.000 |
| 12 | -4.70 | 0.000 |